Entry 1:
VASP calculation (meta-GGA SCAN) on NiW2 at its PBEsol-relaxed geometry.

Output
Total magnetic moment ... 0.00 μB per formula unit
Fermi-level density of states ... 2.8 states/eV/cell
Crystal system ... trigonal
Energy relative to the elements ... 0.269 eV/atom
DFT total energy ... -51.581 eV per atom

Lattice parameters (Å, degrees): 4.375 4.375 2.566 90.00 90.00 120.00
Atoms (fractional coordinates):
Ni: 0.000 0.000 0.000
W: 0.333 0.667 0.681
W: 0.667 0.333 0.319


Entry 2:
VASP calculation (meta-GGA SCAN) on NiW3 at its PBEsol-relaxed geometry.

Output
Total magnetic moment ... 0.00 μB per formula unit
Fermi-level density of states ... 2.9 states/eV/cell
Crystal system ... orthorhombic
Energy relative to the elements ... 0.329 eV/atom
DFT total energy ... -55.981 eV per atom

Lattice parameters (Å, degrees): 5.308 5.308 5.308 151.28 63.36 124.85
Atoms (fractional coordinates):
Ni: 0.000 0.000 0.000
W: 0.416 0.673 0.743
W: 0.496 0.996 0.500
W: 0.930 0.673 0.257


Entry 3:
VASP calculation (meta-GGA SCAN) on NiW2 at its PBEsol-relaxed geometry.

Output
Total magnetic moment ... 0.00 μB per formula unit
Fermi-level density of states ... 3.7 states/eV/cell
Crystal system ... tetragonal
Energy relative to the elements ... 0.322 eV/atom
DFT total energy ... -51.528 eV per atom

Lattice parameters (Å, degrees): 4.731 4.731 4.731 140.53 140.53 57.05
Atoms (fractional coordinates):
Ni: 0.000 0.000 0.000
W: 0.335 0.335 0.000
W: 0.665 0.665 0.000


Entry 4:
VASP calculation (meta-GGA SCAN) on Ni7W at its PBEsol-relaxed geometry.

Output
Total magnetic moment ... 1.83 μB per formula unit
Fermi-level density of states ... 5.5 states/eV/cell
Crystal system ... cubic
Energy relative to the elements ... 0.068 eV/atom
DFT total energy ... -22.795 eV per atom

Lattice parameters (Å, degrees): 4.989 4.989 4.989 60.00 60.00 60.00
Atoms (fractional coordinates):
Ni: 0.000 0.000 0.000
Ni: 0.000 0.000 0.500
Ni: 0.000 0.500 0.000
Ni: 0.000 0.500 0.500
Ni: 0.500 0.000 0.000
Ni: 0.500 0.000 0.500
Ni: 0.500 0.500 0.000
W: 0.500 0.500 0.500